Entry 1:
A plane-wave DFT calculation with PBE was carried out for a relaxed structure of MgBRh3.

Properties
Energy above the lowest structure with this stoichiometry, eV/atom: 0.232

Structure (POSCAR):
```
MgBRh3
1.0
11.154 0.000 -0.620
4.764 4.571 -2.999
-4.764 4.571 2.999
Rh Mg B
12 4 4
direct
0.899 0.761 0.961
0.576 0.756 0.561
0.559 0.893 0.220
0.941 0.720 0.393
0.101 0.239 0.039
0.076 0.939 0.744
0.424 0.244 0.439
0.601 0.461 0.261
0.059 0.280 0.607
0.441 0.107 0.780
0.924 0.061 0.256
0.399 0.539 0.739
0.750 0.544 0.044
0.250 0.456 0.956
0.250 0.769 0.269
0.750 0.231 0.731
0.364 0.835 0.905
0.136 0.405 0.335
0.636 0.165 0.095
0.864 0.595 0.665
```

Entry 2:
A plane-wave DFT calculation with PBE was carried out for a relaxed structure of MgBRh3.

Properties
Energy above the lowest structure with this stoichiometry, eV/atom: 0.391

Structure (POSCAR):
```
MgBRh3
1.0
-2.220 0.597 3.476
4.535 -0.539 2.989
1.009 6.170 -0.418
B Mg Rh
2 2 6
direct
0.750 0.250 0.353
0.250 0.750 0.647
0.250 0.750 0.268
0.750 0.250 0.732
0.250 0.998 0.875
0.750 0.498 0.125
0.750 0.750 0.559
0.250 0.250 0.441
0.750 0.002 0.125
0.250 0.502 0.875
```

Entry 3:
A plane-wave DFT calculation with PBE was carried out for a relaxed structure of Mg2BRh2.

Structure (POSCAR):
```
Mg2BRh2
1.0
5.789 0.000 0.000
0.000 5.789 0.000
0.000 0.000 4.275
B Rh Mg
2 4 4
direct
0.000 0.000 0.000
0.500 0.500 0.000
0.837 0.663 0.000
0.163 0.337 0.000
0.337 0.837 0.000
0.663 0.163 0.000
0.836 0.336 0.500
0.664 0.836 0.500
0.164 0.664 0.500
0.336 0.164 0.500
```

Entry 4:
A plane-wave DFT calculation with PBE was carried out for a relaxed structure of MgB2Rh.

Structure (POSCAR):
```
MgB2Rh
1.0
3.663 0.000 0.000
0.000 3.663 0.000
1.831 1.831 7.657
B Mg Rh
4 2 2
direct
0.875 0.625 0.250
0.875 0.125 0.750
0.375 0.125 0.750
0.875 0.125 0.250
0.500 0.500 0.000
0.250 0.750 0.500
0.000 0.000 0.000
0.750 0.250 0.500
```

We obtain total magnetic moment values of 0.000; 0.000; 0.000; 0.000 μB per formula unit for the records listed above, in that order.
We obtain formation energy values of -86; -9; -222; 39 kJ/mol of formula units for the records listed above, in that order.
We obtain E_tot values of -31.22; -30.42; -26.87; -21.89 eV per formula unit for the records listed above, in that order.